# ZrTlV2O8 (PBE with a Hubbard U, optimized geometry)
# - energy (eV/atom) = -7.386
# - N(E_F) (states/eV per cell) = 28.468
data_ZrTlV2O8
_chemical_formula_sum 'Zr3 Tl3 V6 O24'
_symmetry_space_group_name_H-M 'R -3'
_symmetry_Int_Tables_number 148
_symmetry_space_group_name_Hall '-R 3'
_cell_length_a 5.4818
_cell_length_b 5.4818
_cell_length_c 24.1212
_cell_angle_alpha 90.00
_cell_angle_beta 90.00
_cell_angle_gamma 120.00
loop_
_atom_site_label
_atom_site_fract_x
_atom_site_fract_y
_atom_site_fract_z
Zr1 0.0000 0.0000 0.0000
Tl1 0.0000 0.0000 0.5000
V1 0.0000 0.0000 0.2593
O1 0.0000 0.0000 0.1888
O2 0.0051 0.6085 0.3845